1.
The following is a DFT calculation (GGA-PBE) of KCr2SiBr after structural relaxation.

Properties
Formation energy from raw total energies ... 0.946 eV/atom
Total moment ... 8.01 μB per formula unit

abc: 5.0659 5.6730 5.0659
angles: 90.00 90.00 90.00
With the nearest neighbours (Å) after each atom.
Positions (direct):
1 K 0.0000 0.5000 0.0000  2 Br 2.84
2 Br 0.0000 0.0000 0.0000  4 Cr 2.53, 2 K 2.84
3 Cr 0.5000 0.0000 0.0000  2 Br 2.53
4 Cr 0.0000 0.0000 0.5000  2 Br 2.53
5 Si 0.5000 0.5000 0.5000  4 K 3.58, 8 Cr 3.80


2.
The following is a DFT calculation (GGA-PBE) of KCrSn2Br8 after structural relaxation.

Properties
Formation energy from raw total energies ... -0.888 eV/atom
Total moment ... 2.98 μB per formula unit

abc: 7.5102 6.5565 8.7671
angles: 100.39 80.12 84.31
With the nearest neighbours (Å) after each atom.
Positions (direct):
1 Br 0.6296 0.7278 0.5288  1 Sn 2.75
2 Br 0.2916 0.1310 0.8875  1 Cr 2.54
3 Br 0.3704 0.2722 0.4712  1 Sn 2.75
4 Br 0.7084 0.8690 0.1125  1 Cr 2.54
5 Sn 0.6082 0.5051 0.2371  3 Br 2.75-2.91
6 Br 0.0494 0.7016 0.7598  1 Cr 2.55, 1 Sn 2.79
7 Br 0.8090 0.2280 0.8704  1 Cr 2.52
8 K 0.0000 0.0000 0.5000  6 Br 3.30-3.45
9 Br 0.1910 0.7720 0.1296  1 Cr 2.52
10 Br 0.9506 0.2984 0.2402  1 Cr 2.55, 1 Sn 2.79
11 Cr 0.0000 0.0000 0.0000  6 Br 2.52-2.55
12 Sn 0.3918 0.4949 0.7629  3 Br 2.75-2.91


3.
The following is a DFT calculation (GGA-PBE) of KSrCrBr6 after structural relaxation.

Properties
Formation energy from raw total energies ... -1.418 eV/atom
Total moment ... 3.00 μB per formula unit

abc: 7.4153 7.4153 13.7899
angles: 90.00 90.00 120.00
With the nearest neighbours (Å) after each atom.
Positions (direct):
1 Cr 0.6667 0.3333 0.2500  6 Br 2.55
2 Br 0.3411 0.9475 0.6410  1 Cr 2.55
3 Br 0.9475 0.3411 0.1410  1 Cr 2.55
4 Br 0.6589 0.6064 0.1410  1 Cr 2.55
5 Br 0.6064 0.9475 0.8590  1 Cr 2.55
6 Sr 0.3333 0.6667 0.2500  6 Br 3.06
7 Br 0.6064 0.6589 0.6410  1 Cr 2.55
8 Br 0.3936 0.0525 0.1410  1 Cr 2.55
9 Br 0.3936 0.3411 0.3590  1 Cr 2.55
10 Br 0.6589 0.0525 0.3590  1 Cr 2.55
11 Br 0.0525 0.6589 0.8590  1 Cr 2.55
12 Sr 0.6667 0.3333 0.7500  6 Br 3.06
13 Br 0.9475 0.6064 0.3590  1 Cr 2.55
14 Br 0.3411 0.3936 0.8590  1 Cr 2.55
15 Br 0.0525 0.3936 0.6410  1 Cr 2.55
16 K 0.0000 0.0000 0.0000  6 Br 3.36
17 Cr 0.3333 0.6667 0.7500  6 Br 2.55
18 K 0.0000 0.0000 0.5000  6 Br 3.36


4.
The following is a DFT calculation (GGA-PBE) of KSr2CrBr8 after structural relaxation.

Properties
Formation energy from raw total energies ... -1.533 eV/atom
Total moment ... 3.00 μB per formula unit

abc: 6.8757 6.6955 9.2568
angles: 89.97 89.99 89.73
With the nearest neighbours (Å) after each atom.
Positions (direct):
1 Br 0.1441 0.7803 0.1955  1 Cr 2.53
2 Br 0.1447 0.7807 0.8046  1 Cr 2.53
3 Cr 0.0000 0.0000 0.0000  6 Br 2.53-2.60
4 Br 0.3093 0.2229 0.0002  1 Cr 2.60
5 Br 0.3714 0.2622 0.5000  2 Sr 3.00, 1 K 3.11
6 Br 0.8559 0.2197 0.8045  1 Cr 2.53
7 Br 0.6907 0.7771 0.9998  1 Cr 2.60
8 K 0.0000 0.0000 0.5000  6 Br 3.11-3.33
9 Sr 0.5001 0.5002 0.2424  6 Br 3.00-3.20
10 Sr 0.4999 0.4998 0.7575  6 Br 3.00-3.20
11 Br 0.8553 0.2193 0.1954  1 Cr 2.53
12 Br 0.6286 0.7378 0.5000  2 Sr 3.00, 1 K 3.11